A geometry-optimized SmDyPd structure, computed with PBE.

abc: 6.9827 6.9827 6.9827
angles: 90.00 90.00 90.00
Space group F-43m (No. 216)
One atom of each set of equivalent atoms:
Sm1 0.0000 0.0000 0.0000
Dy1 0.0000 0.0000 0.5000
Pd1 0.2500 0.2500 0.7500

The value obtained for the density of states at the Fermi level is 11.97 states/eV/cell. The formation energy comes out at -438 meV/atom.

---

A geometry-optimized SnPb2Cl8 structure, computed with PBE.

abc: 12.2363 9.2060 6.2716
angles: 90.00 110.52 90.00
Space group C2/m (No. 12)
One atom of each set of equivalent atoms:
Sn1 0.0000 0.0000 0.0000
Pb1 0.1531 0.5000 0.4147
Cl1 0.0873 0.5000 0.7913
Cl2 0.1151 0.0000 0.7618
Cl3 0.1376 0.1881 0.2511

The value obtained for the density of states at the Fermi level is 0.00 states/eV/cell. The energy relative to the elements, uncorrected is -97 kJ/mol of atoms.

---

A geometry-optimized La2EuHo structure, computed with PBE.

abc: 8.3653 8.3653 8.3653
angles: 90.00 90.00 90.00
Space group Fm-3m (No. 225)
One atom of each set of equivalent atoms:
La1 0.2500 0.2500 0.2500
Eu1 0.0000 0.0000 0.0000
Ho1 0.0000 0.0000 0.5000

The value obtained for the density of states at the Fermi level is 26.06 states/eV/cell. The formation energy comes out at 112 meV/atom.

---

A geometry-optimized Ba2NaTl6 structure, computed with PBE.

abc: 12.3020 7.0958 6.9219
angles: 90.00 90.06 90.00
Space group C2/m (No. 12)
One atom of each set of equivalent atoms:
Ba1 0.1665 0.0000 0.3389
Na1 0.0000 0.5000 0.5000
Tl1 0.0889 0.2341 0.8306
Tl2 0.1779 0.5000 0.1706

The value obtained for the density of states at the Fermi level is 11.25 states/eV/cell. The formation energy comes out at -262 meV/atom.

---

A geometry-optimized HfMnCr structure, computed with PBE.

abc: 4.9073 5.0966 6.9647
angles: 90.00 90.00 90.00
Space group Imma (No. 74)
One atom of each set of equivalent atoms:
Hf1 0.0000 0.2500 0.1247
Mn1 0.0000 0.0000 0.5000
Cr1 0.2500 0.2500 0.7500

The value obtained for the density of states at the Fermi level is 9.73 states/eV/cell. The formation energy comes out at -199 meV/atom.

---

A geometry-optimized TePb2 structure, computed with PBE.

abc: 5.8940 5.8940 3.2271
angles: 90.00 90.00 120.00
Space group P-3m1 (No. 164)
One atom of each set of equivalent atoms:
Te1 0.0000 0.0000 0.0000
Pb1 0.3333 0.6667 0.8610

The value obtained for the density of states at the Fermi level is 1.76 states/eV/cell. The energy relative to the elements, uncorrected is -2 kJ/mol of atoms.

---

A geometry-optimized ZnSi2Br structure, computed with PBE.

abc: 3.1081 4.8722 4.8835
angles: 90.00 90.00 90.00
Space group Pmmm (No. 47)
One atom of each set of equivalent atoms:
Zn1 0.0000 0.0000 0.0000
Si1 0.0000 0.5000 0.5000
Si2 0.5000 0.0000 0.5000
Br1 0.5000 0.5000 0.0000

The value obtained for the density of states at the Fermi level is 1.39 states/eV/cell. The energy relative to the elements, uncorrected is 51 kJ/mol of atoms.

---

A geometry-optimized PmH3Pt structure, computed with PBE.

abc: 3.8676 11.8753 4.7983
angles: 90.00 90.00 90.00
Space group Cmcm (No. 63)
One atom of each set of equivalent atoms:
Pm1 0.0000 0.1391 0.2500
H1 0.0000 0.0719 0.7500
H2 0.0000 0.3143 0.0016
Pt1 0.0000 0.4269 0.2500

The value obtained for the density of states at the Fermi level is 7.74 states/eV/cell.

---

A geometry-optimized Ce2TiAs4Pt3 structure, computed with PBE.

abc: 4.4000 4.4000 10.2544
angles: 90.00 90.00 90.00
Space group P-4m2 (No. 115)
One atom of each set of equivalent atoms:
Ce1 0.0000 0.5000 0.2404
Ti1 0.0000 0.0000 0.5000
As1 0.0000 0.0000 0.0000
As2 0.0000 0.5000 0.6344
As3 0.5000 0.5000 0.0000
Pt1 0.0000 0.5000 0.8769
Pt2 0.5000 0.5000 0.5000

The value obtained for the density of states at the Fermi level is 12.96 states/eV/cell. The formation energy comes out at -887 meV/atom.

---

It is found that the VASP energy values, taken in the order of the records, are -0.19387; -0.12448; -0.22289; -0.08868; -0.35945; -0.13000; -0.10737; -0.17549; -0.24018 hartree per atom.